First-principles (PBE) data for Hf2ZrCu after structural relaxation, as listed in OQMD via LeMat-Bulk.

Geometry as extended XYZ:
```
4
Lattice="0.410 2.255 4.198 -3.757 0.268 2.948 -0.027 -2.506 4.074" Properties=species:S:1:pos:R:3 pbc="T T T"
Cu -0.844 0.004 2.805
Hf 0.000 0.000 0.000
Hf -2.531 0.013 8.415
Zr -1.687 0.009 5.610
```

Results
Size of the total moment   0.00 Bohr magnetons per cell
Energy of formation   0.167 eV/atom
E_tot   -7.877 eV/atom